The following is a PBE calculation of AuIBr2 after structural relaxation, from Alexandria via LeMat-Bulk.

CIF file:
```
data_AuIBr2
_symmetry_space_group_name_H-M 'R -3 m'
_symmetry_Int_Tables_number 166
_symmetry_space_group_name_Hall '-R 3 2"'
_cell_length_a 3.4888
_cell_length_b 3.4888
_cell_length_c 40.0041
_cell_angle_alpha 90.00
_cell_angle_beta 90.00
_cell_angle_gamma 120.00
loop_
_atom_site_label
_atom_site_type_symbol
_atom_site_fract_x
_atom_site_fract_y
_atom_site_fract_z
Au1 Au 0.0000 0.0000 0.0000
I1 I 0.0000 0.0000 0.5000
Br1 Br 0.0000 0.0000 0.0599
```

energy relative to the elements, uncorrected: 0.15 eV per atom
energy relative to the lowest polymorph listed for this composition: 0.205 eV per atom
DFT total energy: -1.897 eV per atom
size of the total moment: 0.00 Bohr magnetons per cell